## P
Entry from Alexandria: a relaxed K2CrBr crystal (PBE).

a b c (Å): 4.023 3.978 9.701
angles (deg): 65.77 90.00 90.00
Site moments in Bohr magnetons follow the coordinates.
Fractional positions:
K  0.000  0.971  0.028  0.01
K  0.000  0.529  0.472  0.01
Br  0.500  0.250  0.250  0.01
Cr  0.500  0.750  0.750  4.22

## Q
Entry from Alexandria: a relaxed K2CrBr crystal (PBE).

a b c (Å): 4.574 4.574 9.524
angles (deg): 76.66 76.66 59.11
Site moments in Bohr magnetons follow the coordinates.
Fractional positions:
Br  0.250  0.250  0.250  0.00
K  0.512  0.512  0.469  0.01
K  0.988  0.988  0.031  0.01
Cr  0.750  0.750  0.750  4.27

## R
Entry from Alexandria: a relaxed K2CrBr crystal (PBE).

a b c (Å): 5.968 5.968 5.968
angles (deg): 60.00 60.00 60.00
Site moments in Bohr magnetons follow the coordinates.
Fractional positions:
K  0.250  0.250  0.250  0.00
K  0.000  0.000  0.000  0.01
Br  0.500  0.500  0.500  0.01
Cr  0.750  0.750  0.750  4.25

Relative energies, unit meV/atom: P 0; Q 42; R 340

## P
Entry from Alexandria: a relaxed K2CrBr5 crystal (PBE).

a b c (Å): 7.297 9.453 14.899
angles (deg): 90.00 90.00 90.00
Site moments in Bohr magnetons follow the coordinates.
Fractional positions:
Br  0.250  0.282  0.896  -0.02
Br  0.750  0.718  0.104  -0.02
Br  0.994  0.153  0.604  -0.04
Br  0.000  0.000  0.000  -0.02
Br  0.494  0.347  0.104  -0.04
Br  0.500  0.000  0.000  -0.02
Br  0.006  0.847  0.396  -0.04
Br  0.000  0.500  0.500  -0.02
Br  0.750  0.944  0.798  -0.03
Br  0.500  0.500  0.500  -0.02
Br  0.506  0.653  0.896  -0.04
Br  0.750  0.444  0.702  -0.03
Br  0.250  0.782  0.604  -0.02
Br  0.750  0.218  0.396  -0.02
Br  0.006  0.347  0.104  -0.04
Br  0.250  0.056  0.202  -0.03
Br  0.506  0.153  0.604  -0.04
Br  0.994  0.653  0.896  -0.04
Br  0.250  0.556  0.298  -0.03
Br  0.494  0.847  0.396  -0.04
K  0.250  0.946  0.807  0.00
K  0.250  0.446  0.693  0.00
K  0.250  0.186  0.414  0.00
K  0.750  0.054  0.193  0.00
K  0.750  0.314  0.914  0.00
K  0.750  0.554  0.307  0.00
K  0.250  0.686  0.086  0.00
K  0.750  0.814  0.586  0.00
Cr  0.750  0.314  0.556  2.93
Cr  0.750  0.814  0.944  2.93
Cr  0.250  0.686  0.444  2.93
Cr  0.250  0.186  0.056  2.93

## Q
Entry from Alexandria: a relaxed K2CrBr5 crystal (PBE).

a b c (Å): 5.232 8.792 14.373
angles (deg): 90.00 90.00 107.31
Site moments in Bohr magnetons follow the coordinates.
Fractional positions:
K  0.143  0.286  0.569  0.00
K  0.143  0.286  0.931  0.00
K  0.857  0.714  0.431  0.00
K  0.857  0.714  0.069  0.00
Br  0.257  0.514  0.123  -0.03
Br  0.328  0.655  0.750  -0.09
Br  0.955  0.910  0.628  -0.02
Br  0.743  0.486  0.623  -0.03
Br  0.045  0.090  0.128  -0.02
Br  0.257  0.514  0.377  -0.03
Br  0.672  0.345  0.250  -0.09
Br  0.955  0.910  0.872  -0.02
Br  0.743  0.486  0.877  -0.03
Br  0.045  0.090  0.372  -0.02
Cr  0.852  0.703  0.750  2.95
Cr  0.148  0.297  0.250  2.95

Relative energies, unit meV/atom: P 0; Q 56

## P
Entry from Alexandria: a relaxed KCrBr4 crystal (PBE).

a b c (Å): 6.403 7.152 8.600
angles (deg): 103.34 111.90 90.00
Site moments in Bohr magnetons follow the coordinates.
Fractional positions:
Br  0.277  0.560  0.800  -0.02
Br  0.737  0.332  0.604  -0.07
Br  0.867  0.832  0.604  -0.07
Br  0.524  0.060  0.800  -0.02
Br  0.133  0.168  0.396  -0.07
Br  0.723  0.440  0.200  -0.02
Br  0.476  0.940  0.200  -0.02
Br  0.263  0.668  0.396  -0.07
Cr  0.000  0.500  0.500  2.95
Cr  0.500  0.000  0.500  2.95
K  0.827  0.750  0.000  0.00
K  0.173  0.250  0.000  0.00

## Q
Entry from Alexandria: a relaxed KCrBr4 crystal (PBE).

a b c (Å): 6.542 6.542 6.542
angles (deg): 60.00 60.00 60.00
Site moments in Bohr magnetons follow the coordinates.
Fractional positions:
K  0.000  0.000  0.000  0.01
Br  0.875  0.375  0.375  -0.39
Br  0.375  0.375  0.875  -0.39
Br  0.375  0.375  0.375  -0.39
Br  0.375  0.875  0.375  -0.39
Cr  0.750  0.750  0.750  4.39

Relative energies, unit meV/atom: P 0; Q 1150

## P
Entry from Alexandria: a relaxed LaCr2Br2 crystal (PBE).

a b c (Å): 4.686 4.686 6.020
angles (deg): 67.10 67.10 90.00
Site moments in Bohr magnetons follow the coordinates.
Fractional positions:
Br  0.250  0.750  0.500  0.00
Br  0.750  0.250  0.500  0.00
Cr  0.590  0.590  0.819  0.30
Cr  0.410  0.410  0.181  0.30
La  0.000  0.000  0.000  0.06

## Q
Entry from Alexandria: a relaxed LaCr2Br2 crystal (PBE).

a b c (Å): 7.103 7.103 4.581
angles (deg): 90.00 90.00 90.00
Fractional positions:
Br  0.319  0.819  0.500
Br  0.681  0.181  0.500
Br  0.181  0.319  0.500
Br  0.819  0.681  0.500
Cr  0.091  0.409  0.000
Cr  0.591  0.091  0.000
Cr  0.909  0.591  0.000
Cr  0.409  0.909  0.000
La  0.500  0.500  0.000
La  0.000  0.000  0.000

Relative energies, unit meV/atom: P 0; Q 175

## P
Entry from Alexandria: a relaxed LaCrBr crystal (PBE).

a b c (Å): 3.903 3.903 6.960
angles (deg): 90.00 90.00 120.00
Site moments in Bohr magnetons follow the coordinates.
Fractional positions:
La  0.333  0.667  0.669  -0.17
Br  0.000  0.000  0.983  0.01
Cr  0.667  0.333  0.348  3.92

## Q
Entry from Alexandria: a relaxed LaCrBr crystal (PBE).

a b c (Å): 6.814 6.714 3.646
angles (deg): 75.89 72.85 31.26
Site moments in Bohr magnetons follow the coordinates.
Fractional positions:
Br  0.998  0.998  0.002  0.02
Cr  0.671  0.671  0.329  3.85
La  0.330  0.330  0.670  -0.17

## R
Entry from Alexandria: a relaxed LaCrBr crystal (PBE).

a b c (Å): 4.917 4.917 3.605
angles (deg): 90.00 90.00 120.00
Site moments in Bohr magnetons follow the coordinates.
Fractional positions:
Br  0.000  0.000  0.167  0.04
La  0.667  0.333  0.667  -0.09
Cr  0.333  0.667  0.166  3.69

## S
Entry from Alexandria: a relaxed LaCrBr crystal (PBE).

a b c (Å): 4.983 4.983 4.983
angles (deg): 60.00 60.00 60.00
Site moments in Bohr magnetons follow the coordinates.
Fractional positions:
La  0.500  0.500  0.500  -0.14
Br  0.750  0.750  0.750  0.02
Cr  0.000  0.000  0.000  3.92

Relative energies, unit meV/atom: P 8; Q 0; R 52; S 235

## P
Entry from Alexandria: a relaxed LaCrBr crystal (PBE).

a b c (Å): 6.589 6.589 6.589
angles (deg): 147.61 147.61 46.46
Site moments in Bohr magnetons follow the coordinates.
Fractional positions:
Br  0.999  0.999  0.000  0.03
La  0.671  0.671  0.000  -0.16
Cr  0.330  0.330  0.000  3.84

## Q
Entry from Alexandria: a relaxed LaCrBr crystal (PBE).

a b c (Å): 5.227 5.227 5.227
angles (deg): 60.00 60.00 60.00
Site moments in Bohr magnetons follow the coordinates.
Fractional positions:
La  0.750  0.750  0.750  0.40
Br  0.000  0.000  0.000  0.07
Cr  0.500  0.500  0.500  4.14

Relative energies, unit meV/atom: P 0; Q 337

## P
Entry from Alexandria: a relaxed LiCr2Br crystal (PBE).

a b c (Å): 3.388 3.388 10.961
angles (deg): 81.11 81.11 90.00
Fractional positions:
Br  0.000  0.000  0.000
Br  0.750  0.250  0.500
Cr  0.087  0.625  0.250
Cr  0.875  0.913  0.750
Cr  0.375  0.337  0.750
Cr  0.663  0.125  0.250
Li  0.500  0.500  0.000
Li  0.250  0.750  0.500

## Q
Entry from Alexandria: a relaxed LiCr2Br crystal (PBE).

a b c (Å): 5.209 3.061 4.116
angles (deg): 93.33 90.00 90.00
Fractional positions:
Cr  0.000  0.550  0.426
Cr  0.000  0.950  0.074
Li  0.500  0.250  0.250
Br  0.500  0.750  0.750

## R
Entry from Alexandria: a relaxed LiCr2Br crystal (PBE).

a b c (Å): 3.584 3.573 6.240
angles (deg): 90.00 90.00 90.00
Site moments in Bohr magnetons follow the coordinates.
Fractional positions:
Br  0.000  0.500  0.500  0.00
Li  0.500  0.000  0.500  0.00
Cr  0.500  0.500  0.000  3.41
Cr  0.000  0.000  0.000  -3.41

Relative energies, unit meV/atom: P 328; Q 244; R 0

## P
Entry from Alexandria: a relaxed LiCr2Br crystal (PBE).

a b c (Å): 3.544 3.544 6.366
angles (deg): 90.00 90.00 90.00
Site moments in Bohr magnetons follow the coordinates.
Fractional positions:
Cr  0.000  0.000  0.015  4.10
Cr  0.000  0.000  0.485  4.10
Br  0.500  0.500  0.750  0.05
Li  0.500  0.500  0.250  0.03

## Q
Entry from Alexandria: a relaxed LiCr2Br crystal (PBE).

a b c (Å): 4.703 4.703 4.703
angles (deg): 120.15 120.15 89.73
Site moments in Bohr magnetons follow the coordinates.
Fractional positions:
Li  0.500  0.500  0.000  0.02
Br  0.750  0.250  0.500  0.04
Cr  0.250  0.750  0.500  3.84
Cr  0.000  0.000  0.000  -3.64

## R
Entry from Alexandria: a relaxed LiCr2Br crystal (PBE).

a b c (Å): 4.733 5.960 3.267
angles (deg): 74.01 89.95 113.25
Site moments in Bohr magnetons follow the coordinates.
Fractional positions:
Br  0.500  0.500  0.000  0.02
Li  0.000  0.500  0.500  0.03
Cr  0.500  0.000  0.500  3.75
Cr  0.000  0.000  0.000  3.76

## S
Entry from Alexandria: a relaxed LiCr2Br crystal (PBE).

a b c (Å): 5.012 5.012 3.226
angles (deg): 90.00 90.00 107.98
Site moments in Bohr magnetons follow the coordinates.
Fractional positions:
Li  0.500  0.000  0.500  -0.03
Cr  0.000  0.000  0.000  3.85
Cr  0.500  0.500  0.000  3.85
Br  0.000  0.500  0.500  -0.03

Relative energies, unit meV/atom: P 93; Q 0; R 101; S 189

## P
Entry from Alexandria: a relaxed LiCr2Br crystal (PBE).

a b c (Å): 4.885 4.885 4.885
angles (deg): 60.00 60.00 60.00
Site moments in Bohr magnetons follow the coordinates.
Fractional positions:
Br  0.500  0.500  0.500  0.09
Cr  0.250  0.250  0.250  4.13
Cr  0.750  0.750  0.750  4.13
Li  0.000  0.000  0.000  0.05

## Q
Entry from Alexandria: a relaxed LiCr2Br crystal (PBE).

a b c (Å): 8.329 8.329 8.329
angles (deg): 22.51 22.51 22.51
Site moments in Bohr magnetons follow the coordinates.
Fractional positions:
Br  0.752  0.752  0.752  0.03
Cr  0.996  0.996  0.996  3.16
Cr  0.263  0.263  0.263  -2.92
Li  0.489  0.489  0.489  0.03

Relative energies, unit meV/atom: P 587; Q 0

## P
Entry from Alexandria: a relaxed LiCr2Br crystal (PBE).

a b c (Å): 5.713 5.713 5.713
angles (deg): 146.73 129.87 61.50
Site moments in Bohr magnetons follow the coordinates.
Fractional positions:
Cr  0.025  0.025  0.000  3.76
Cr  0.758  0.258  0.500  3.84
Li  0.472  0.472  0.000  -0.02
Br  0.245  0.745  0.500  -0.02

## Q
Entry from Alexandria: a relaxed LiCr2Br crystal (PBE).

a b c (Å): 3.301 3.301 6.999
angles (deg): 90.00 90.00 90.00
Site moments in Bohr magnetons follow the coordinates.
Fractional positions:
Cr  0.000  0.000  0.099  3.17
Cr  0.500  0.500  0.250  -3.08
Li  0.000  0.000  0.511  -0.01
Br  0.500  0.500  0.640  -0.01

## R
Entry from Alexandria: a relaxed LiCr2Br crystal (PBE).

a b c (Å): 3.267 3.316 6.653
angles (deg): 75.57 90.00 90.00
Site moments in Bohr magnetons follow the coordinates.
Fractional positions:
Br  0.500  0.973  0.679  -0.01
Cr  0.500  0.195  0.236  -3.10
Cr  0.000  0.778  0.068  3.13
Li  0.000  0.554  0.517  0.00

Relative energies, unit meV/atom: P 635; Q 29; R 0